# 1
A relaxed structure of Lu2TiSn. Source: Alexandria via LeMat-Bulk, functional PBE.

It has space group R-3m (No. 166, hexagonal axes), with a = 3.3653 Å, b = 3.3653 Å, c = 30.1252 Å, α = 90.00°, β = 90.00° and γ = 120.00°. The distinct sites, in fractional coordinates, are Lu at (0.0000, 0.0000, 0.2474), Ti at (0.0000, 0.0000, 0.5000) and Sn at (0.0000, 0.0000, 0.0000).

As for the formation energy: -0.096 eV/atom. The total moment comes out at 0.0 μB/f.u. The calculation puts the raw total energy at -63.98 eV for the cell shown. The density of states at the Fermi level comes out at 13.6 states/eV per cell. As for the calculated density: 8.7 g/cm³.

***

# 2
A relaxed structure of LuTiSn2. Source: Alexandria via LeMat-Bulk, functional PBE.

It has space group P4/mmm (No. 123), with a = 4.547 Å, b = 4.547 Å, c = 4.313 Å, α = 90.00°, β = 90.00° and γ = 90.00°. The distinct sites, in fractional coordinates, are Lu at (0.000, 0.000, 0.000), Ti at (0.500, 0.500, 0.000) and Sn at (0.000, 0.500, 0.500).

As for the formation energy: -0.306 eV/atom. The total moment comes out at 0.2 μB/f.u. The calculation puts the raw total energy at -21.65 eV for the cell shown. The density of states at the Fermi level comes out at 3.8 states/eV per cell. As for the calculated density: 8.6 g/cm³.

***

# 3
A relaxed structure of LuTlSn2. Source: Alexandria via LeMat-Bulk, functional PBE.

It has space group P4/mmm (No. 123), with a = 4.124 Å, b = 4.124 Å, c = 6.360 Å, α = 90.00°, β = 90.00° and γ = 90.00°. The distinct sites, in fractional coordinates, are Lu at (0.000, 0.000, 0.000), Tl at (0.000, 0.000, 0.500) and Sn at (0.500, 0.500, 0.234).

As for the formation energy: -0.241 eV/atom. The total moment comes out at 0.0 μB/f.u. The calculation puts the raw total energy at -15.86 eV for the cell shown. The density of states at the Fermi level comes out at 1.9 states/eV per cell. As for the calculated density: 9.5 g/cm³.

***

# 4
A relaxed structure of LuTlSn4. Source: Alexandria via LeMat-Bulk, functional PBE.

It has space group F-43m (No. 216), with a = 8.787 Å, b = 8.787 Å, c = 8.787 Å, α = 90.00°, β = 90.00° and γ = 90.00°. The distinct sites, in fractional coordinates, are Lu at (0.000, 0.000, 0.000), Tl at (0.250, 0.250, 0.750) and Sn at (0.126, 0.126, 0.374).

As for the formation energy: -0.061 eV/atom. The total moment comes out at 0.0 μB/f.u. The calculation puts the raw total energy at -93.06 eV for the cell shown. The density of states at the Fermi level comes out at 6.7 states/eV per cell. As for the calculated density: 8.4 g/cm³.